Here is a geometry-optimized K3Ac2PrO6 structure from Alexandria via LeMat-Bulk. Energies are from PBE.

Computed properties:
Space group ... C2/m (12)

abc: 6.5888 6.5888 6.7176
angles: 99.38 99.38 120.02
Fractional positions:
K: 0.0000 0.0000 0.0000
K: 0.3374 0.6626 0.0000
K: 0.6626 0.3374 0.0000
Ac: 0.1668 0.8332 0.5000
Ac: 0.8332 0.1668 0.5000
Pr: 0.5000 0.5000 0.5000
O: 0.1116 0.4354 0.3058
O: 0.2405 0.2405 0.6937
O: 0.4354 0.1116 0.3058
O: 0.5646 0.8884 0.6942
O: 0.7595 0.7595 0.3063
O: 0.8884 0.5646 0.6942

Here is a geometry-optimized K4AcPr3O8 structure from Alexandria via LeMat-Bulk. Energies are from PBE.

Computed properties:
Space group ... R-3m (166)

abc: 7.6538 7.6538 7.6538
angles: 58.23 58.23 58.23
Fractional positions:
K: 0.0000 0.0000 0.0000
K: 0.0000 0.5000 0.5000
K: 0.5000 0.0000 0.5000
K: 0.5000 0.5000 0.0000
Ac: 0.5000 0.5000 0.5000
Pr: 0.0000 0.0000 0.5000
Pr: 0.0000 0.5000 0.0000
Pr: 0.5000 0.0000 0.0000
O: 0.2237 0.7347 0.7347
O: 0.2306 0.2306 0.2306
O: 0.2653 0.2653 0.7763
O: 0.2653 0.7763 0.2653
O: 0.7347 0.2237 0.7347
O: 0.7347 0.7347 0.2237
O: 0.7694 0.7694 0.7694
O: 0.7763 0.2653 0.2653

Here is a geometry-optimized KAc2PtO5 structure from Alexandria via LeMat-Bulk. Energies are from PBE.

Computed properties:
Space group ... I4/mcm (140)

abc: 8.0317 8.0317 8.0317
angles: 126.66 126.66 78.80
Fractional positions:
K: 0.2500 0.2500 0.0000
K: 0.7500 0.7500 0.0000
Ac: 0.1812 0.6812 0.8624
Ac: 0.3188 0.1812 0.5000
Ac: 0.6812 0.8188 0.5000
Ac: 0.8188 0.3188 0.1376
Pt: 0.2500 0.7500 0.5000
Pt: 0.7500 0.2500 0.5000
O: 0.0000 0.0000 0.0000
O: 0.0034 0.2542 0.5000
O: 0.2458 0.4966 0.5000
O: 0.2542 0.7542 0.2508
O: 0.4966 0.9966 0.2508
O: 0.5000 0.5000 0.0000
O: 0.5034 0.0034 0.7492
O: 0.7458 0.2458 0.7492
O: 0.7542 0.5034 0.5000
O: 0.9966 0.7458 0.5000

Here is a geometry-optimized KAc4Pt3O12 structure from Alexandria via LeMat-Bulk. Energies are from PBE.

Computed properties:
Space group ... Im-3 (204)

abc: 7.6755 7.6755 7.6755
angles: 109.47 109.47 109.47
Fractional positions:
K: 0.0000 0.0000 0.0000
Ac: 0.0000 0.0000 0.5000
Ac: 0.0000 0.5000 0.0000
Ac: 0.5000 0.0000 0.0000
Ac: 0.5000 0.5000 0.5000
Pt: 0.0000 0.5000 0.5000
Pt: 0.5000 0.0000 0.5000
Pt: 0.5000 0.5000 0.0000
O: 0.1501 0.3347 0.4848
O: 0.1501 0.6653 0.8154
O: 0.1846 0.8499 0.3347
O: 0.3347 0.1846 0.8499
O: 0.3347 0.4848 0.1501
O: 0.4848 0.1501 0.3347
O: 0.5152 0.8499 0.6653
O: 0.6653 0.5152 0.8499
O: 0.6653 0.8154 0.1501
O: 0.8154 0.1501 0.6653
O: 0.8499 0.3347 0.1846
O: 0.8499 0.6653 0.5152

Here is a geometry-optimized K2AcPtO6 structure from Alexandria via LeMat-Bulk. Energies are from PBE.

Computed properties:
Space group ... P2_1/c (14)

abc: 6.2115 6.1963 10.7386
angles: 90.00 125.27 90.00
Fractional positions:
K: 0.2485 0.0011 0.2492
K: 0.2485 0.4989 0.7492
K: 0.7515 0.5011 0.2508
K: 0.7515 0.9989 0.7508
Ac: 0.5000 0.0000 0.0000
Ac: 0.5000 0.5000 0.5000
Pt: 0.0000 0.0000 0.5000
Pt: 0.0000 0.5000 0.0000
O: 0.2057 0.2280 0.4887
O: 0.2057 0.2720 0.9887
O: 0.2154 0.7179 0.9883
O: 0.2154 0.7821 0.4883
O: 0.2451 0.0002 0.7224
O: 0.2451 0.4998 0.2224
O: 0.7549 0.9998 0.2776
O: 0.7549 0.5002 0.7776
O: 0.7846 0.2179 0.5117
O: 0.7846 0.2821 0.0117
O: 0.7943 0.7280 0.0113
O: 0.7943 0.7720 0.5113

Here is a geometry-optimized K3Ac2PtO6 structure from Alexandria via LeMat-Bulk. Energies are from PBE.

Computed properties:
Space group ... C2/m (12)

abc: 6.3218 6.3218 6.6501
angles: 98.70 98.70 120.20
Fractional positions:
K: 0.0000 0.0000 0.0000
K: 0.3456 0.6544 0.0000
K: 0.6544 0.3456 0.0000
Ac: 0.1697 0.8303 0.5000
Ac: 0.8303 0.1697 0.5000
Pt: 0.5000 0.5000 0.5000
O: 0.1109 0.4299 0.2920
O: 0.2702 0.2702 0.6784
O: 0.4299 0.1109 0.2920
O: 0.5701 0.8891 0.7080
O: 0.7298 0.7298 0.3216
O: 0.8891 0.5701 0.7080

Here is a geometry-optimized KAcPtO4 structure from Alexandria via LeMat-Bulk. Energies are from PBE.

Computed properties:
Space group ... Imma (74)

abc: 7.0233 7.0233 7.0233
angles: 124.10 112.09 93.63
Fractional positions:
K: 0.3845 0.1345 0.2500
K: 0.6155 0.8655 0.7500
Ac: 0.0000 0.5000 0.5000
Ac: 0.5000 0.5000 0.0000
Pt: 0.0000 0.0000 0.5000
Pt: 0.0000 0.5000 0.0000
O: 0.1586 0.2413 0.9172
O: 0.1759 0.7587 0.4172
O: 0.2167 0.2438 0.5271
O: 0.2167 0.6896 0.9729
O: 0.7833 0.3104 0.0271
O: 0.7833 0.7562 0.4729
O: 0.8241 0.2413 0.5828
O: 0.8414 0.7587 0.0828

Here is a geometry-optimized KAcPtO3 structure from Alexandria via LeMat-Bulk. Energies are from PBE.

Computed properties:
Space group ... C2/m (12)

abc: 7.2330 7.2330 7.8610
angles: 105.71 105.71 32.53
Fractional positions:
K: 0.1393 0.1393 0.0637
K: 0.8607 0.8607 0.9363
Ac: 0.1510 0.1510 0.5885
Ac: 0.8490 0.8490 0.4115
Pt: 0.4933 0.4933 0.7296
Pt: 0.5067 0.5067 0.2704
O: 0.0074 0.0074 0.3094
O: 0.3358 0.3358 0.6393
O: 0.3501 0.3501 0.2076
O: 0.6499 0.6499 0.7924
O: 0.6642 0.6642 0.3607
O: 0.9926 0.9926 0.6906

Here is a geometry-optimized K3Ac3PtO8 structure from Alexandria via LeMat-Bulk. Energies are from PBE.

Computed properties:
Space group ... R-3m (166)

abc: 7.6173 7.6173 7.6173
angles: 58.04 58.04 58.04
Fractional positions:
K: 0.0000 0.5000 0.5000
K: 0.5000 0.0000 0.5000
K: 0.5000 0.5000 0.0000
Ac: 0.0000 0.0000 0.5000
Ac: 0.0000 0.5000 0.0000
Ac: 0.5000 0.0000 0.0000
Pt: 0.5000 0.5000 0.5000
O: 0.2327 0.2327 0.2327
O: 0.2713 0.7030 0.7030
O: 0.2970 0.2970 0.7287
O: 0.2970 0.7287 0.2970
O: 0.7030 0.2713 0.7030
O: 0.7030 0.7030 0.2713
O: 0.7287 0.2970 0.2970
O: 0.7673 0.7673 0.7673

Here is a geometry-optimized K2Ac2PuO6 structure from Alexandria via LeMat-Bulk. Energies are from PBE.

Computed properties:
Space group ... C2/m (12)

abc: 6.4819 6.4819 6.6793
angles: 97.92 97.92 119.42
Fractional positions:
K: 0.1556 0.8444 0.0000
K: 0.8444 0.1556 0.0000
Ac: 0.3354 0.6646 0.5000
Ac: 0.6646 0.3354 0.5000
Pu: 0.0000 0.0000 0.5000
O: 0.0398 0.3557 0.6731
O: 0.2361 0.2361 0.3195
O: 0.3557 0.0398 0.6731
O: 0.6443 0.9602 0.3269
O: 0.7639 0.7639 0.6805
O: 0.9602 0.6443 0.3269

Here is a geometry-optimized K3Ac3PuO8 structure from Alexandria via LeMat-Bulk. Energies are from PBE.

Computed properties:
Space group ... R-3m (166)

abc: 7.7073 7.7073 7.7073
angles: 58.88 58.88 58.88
Fractional positions:
K: 0.0000 0.5000 0.5000
K: 0.5000 0.0000 0.5000
K: 0.5000 0.5000 0.0000
Ac: 0.0000 0.0000 0.5000
Ac: 0.0000 0.5000 0.0000
Ac: 0.5000 0.0000 0.0000
Pu: 0.5000 0.5000 0.5000
O: 0.2313 0.2313 0.2313
O: 0.2584 0.7094 0.7094
O: 0.2906 0.2906 0.7416
O: 0.2906 0.7416 0.2906
O: 0.7094 0.2584 0.7094
O: 0.7094 0.7094 0.2584
O: 0.7416 0.2906 0.2906
O: 0.7687 0.7687 0.7687

Here is a geometry-optimized K4AcPu3O12 structure from Alexandria via LeMat-Bulk. Energies are from PBE.

Computed properties:
Space group ... Im-3m (229)

abc: 7.5870 7.5870 7.5870
angles: 109.47 109.47 109.47
Fractional positions:
K: 0.0000 0.0000 0.5000
K: 0.0000 0.5000 0.0000
K: 0.5000 0.0000 0.0000
K: 0.5000 0.5000 0.5000
Ac: 0.0000 0.0000 0.0000
Pu: 0.0000 0.5000 0.5000
Pu: 0.5000 0.0000 0.5000
Pu: 0.5000 0.5000 0.0000
O: 0.0000 0.2753 0.2753
O: 0.0000 0.7247 0.7247
O: 0.2500 0.5000 0.7500
O: 0.2500 0.7500 0.5000
O: 0.2753 0.0000 0.2753
O: 0.2753 0.2753 0.0000
O: 0.5000 0.2500 0.7500
O: 0.5000 0.7500 0.2500
O: 0.7247 0.0000 0.7247
O: 0.7247 0.7247 0.0000
O: 0.7500 0.2500 0.5000
O: 0.7500 0.5000 0.2500

Here is a geometry-optimized KAc2PuO8 structure from Alexandria via LeMat-Bulk. Energies are from PBE.

Computed properties:
Space group ... P2/m (10)

abc: 4.3829 8.7169 5.5180
angles: 90.00 98.65 90.00
Fractional positions:
K: 0.0000 0.0000 0.0000
Ac: 0.5000 0.2782 0.5000
Ac: 0.5000 0.7218 0.5000
Pu: 0.0000 0.5000 0.0000
O: 0.0631 0.3200 0.7702
O: 0.0631 0.6800 0.7702
O: 0.4114 0.5000 0.2163
O: 0.4844 0.0000 0.6360
O: 0.5156 0.0000 0.3640
O: 0.5886 0.5000 0.7837
O: 0.9369 0.3200 0.2298
O: 0.9369 0.6800 0.2298

Here is a geometry-optimized K2AcPuO6 structure from Alexandria via LeMat-Bulk. Energies are from PBE.

Computed properties:
Space group ... P2_1/c (14)

abc: 6.2910 6.2980 10.8928
angles: 90.00 125.17 90.00
Fractional positions:
K: 0.2476 0.0142 0.2498
K: 0.2476 0.4858 0.7498
K: 0.7524 0.5142 0.2502
K: 0.7524 0.9858 0.7502
Ac: 0.5000 0.0000 0.0000
Ac: 0.5000 0.5000 0.5000
Pu: 0.0000 0.0000 0.5000
Pu: 0.0000 0.5000 0.0000
O: 0.1686 0.2477 0.9724
O: 0.1686 0.2523 0.4724
O: 0.2253 0.6983 0.9743
O: 0.2253 0.8017 0.4743
O: 0.2763 0.0095 0.7244
O: 0.2763 0.4905 0.2244
O: 0.7237 0.5095 0.7756
O: 0.7237 0.9905 0.2756
O: 0.7747 0.1983 0.5257
O: 0.7747 0.3017 0.0257
O: 0.8314 0.7477 0.5276
O: 0.8314 0.7523 0.0276

Here is a geometry-optimized K4Ac3PuO8 structure from Alexandria via LeMat-Bulk. Energies are from PBE.

Computed properties:
Space group ... R-3m (166)

abc: 7.7123 7.7123 7.7123
angles: 59.06 59.06 59.06
Fractional positions:
K: 0.0000 0.0000 0.0000
K: 0.0000 0.5000 0.5000
K: 0.5000 0.0000 0.5000
K: 0.5000 0.5000 0.0000
Ac: 0.0000 0.0000 0.5000
Ac: 0.0000 0.5000 0.0000
Ac: 0.5000 0.0000 0.0000
Pu: 0.5000 0.5000 0.5000
O: 0.2323 0.2323 0.2323
O: 0.2455 0.7230 0.7230
O: 0.2770 0.2770 0.7545
O: 0.2770 0.7545 0.2770
O: 0.7230 0.2455 0.7230
O: 0.7230 0.7230 0.2455
O: 0.7545 0.2770 0.2770
O: 0.7677 0.7677 0.7677

Here is a geometry-optimized KAcPu2O8 structure from Alexandria via LeMat-Bulk. Energies are from PBE.

Computed properties:
Space group ... I-4 (82)

abc: 6.6022 6.6022 6.6022
angles: 129.14 129.14 74.79
Fractional positions:
K: 0.0000 0.0000 0.0000
Ac: 0.2500 0.7500 0.5000
Pu: 0.5000 0.5000 0.0000
Pu: 0.7500 0.2500 0.5000
O: 0.1296 0.1673 0.5504
O: 0.1319 0.5804 0.9638
O: 0.4196 0.3834 0.5516
O: 0.4208 0.8704 0.0377
O: 0.6166 0.1682 0.0362
O: 0.6169 0.5792 0.4496
O: 0.8318 0.8681 0.4484
O: 0.8327 0.3831 0.9623

Here is a geometry-optimized K2AcPu3O12 structure from Alexandria via LeMat-Bulk. Energies are from PBE.

Computed properties:
Space group ... R-3m (166)

abc: 7.2427 7.2427 7.2427
angles: 68.30 68.30 68.30
Fractional positions:
K: 0.1149 0.1149 0.1149
K: 0.8851 0.8851 0.8851
Ac: 0.5000 0.5000 0.5000
Pu: 0.0000 0.5000 0.5000
Pu: 0.5000 0.0000 0.5000
Pu: 0.5000 0.5000 0.0000
O: 0.0652 0.6345 0.6345
O: 0.2449 0.2449 0.6003
O: 0.2449 0.6003 0.2449
O: 0.3655 0.3655 0.9348
O: 0.3655 0.9348 0.3655
O: 0.3997 0.7551 0.7551
O: 0.6003 0.2449 0.2449
O: 0.6345 0.0652 0.6345
O: 0.6345 0.6345 0.0652
O: 0.7551 0.3997 0.7551
O: 0.7551 0.7551 0.3997
O: 0.9348 0.3655 0.3655

Here is a geometry-optimized K2AcReO6 structure from Alexandria via LeMat-Bulk. Energies are from PBE.

Computed properties:
Space group ... Fm-3m (225)

abc: 6.1895 6.1895 6.1895
angles: 60.00 60.00 60.00
Fractional positions:
K: 0.2500 0.2500 0.2500
K: 0.7500 0.7500 0.7500
Ac: 0.0000 0.0000 0.0000
Re: 0.5000 0.5000 0.5000
O: 0.2824 0.2824 0.7176
O: 0.2824 0.7176 0.2824
O: 0.2824 0.7176 0.7176
O: 0.7176 0.2824 0.2824
O: 0.7176 0.2824 0.7176
O: 0.7176 0.7176 0.2824

| no. | raw formation energy (meV per atom) |
| --- | --- |
| 1 | -2565 |
| 2 | -2569 |
| 3 | -2062 |
| 4 | -1928 |
| 5 | -1416 |
| 6 | -1857 |
| 7 | -1674 |
| 8 | -1909 |
| 9 | -2119 |
| 10 | -2673 |
| 11 | -2660 |
| 12 | -2544 |
| 13 | -2498 |
| 14 | -2521 |
| 15 | -2489 |
| 16 | -2455 |
| 17 | -2560 |
| 18 | -2161 |